Below is a geometry-optimized LiZrSc2 structure, with properties calculated at the PBE-GGA level.

```
4
Lattice="1.6069 0.9278 10.5190 -1.6069 0.9278 10.5190 0.0000 -1.8555 10.5190" Properties=species:S:1:pos:R:3 pbc="T T T"
Li 0.0000 0.0000 0.0000
Zr 0.0000 0.0000 26.3130
Sc 0.0000 0.0000 7.8129
Sc 0.0000 0.0000 13.2514
```

Space-group type: R3m (160)
Mass density, g cm⁻³: 3.3
Magnetization, μB per formula unit: 0.00
DFT formation energy, eV per atom: 0.083
VASP energy, eV/atom: -5.6987
Polymorph energy (0 for the lowest one), kJ per mole of atoms: 3.04